## w
# VSiAsSe2 | Alexandria | GGA-PBE | optimized geometry
# M_tot	0.1	μB per cell
data_VSiAsSe2
_symmetry_space_group_name_H-M 'P 4/m m m'
_symmetry_Int_Tables_number 123
_symmetry_space_group_name_Hall '-P 4 2'
_cell_length_a 4.7652
_cell_length_b 4.7652
_cell_length_c 4.6956
_cell_angle_alpha 90.00
_cell_angle_beta 90.00
_cell_angle_gamma 90.00
loop_
_atom_site_label
_atom_site_fract_x
_atom_site_fract_y
_atom_site_fract_z
_atom_site_occupancy
V1 0.0000 0.0000 0.0000 1
Si1 0.5000 0.5000 0.5000 1
As1 0.5000 0.5000 0.0000 1
Se1 0.0000 0.5000 0.5000 1

=====

## x
# VSiAsSe2 | Alexandria | GGA-PBE | optimized geometry
# M_tot	0.0	μB per cell
data_VSiAsSe2
_symmetry_space_group_name_H-M 'P 4/m m m'
_symmetry_Int_Tables_number 123
_symmetry_space_group_name_Hall '-P 4 2'
_cell_length_a 4.7768
_cell_length_b 4.7768
_cell_length_c 4.8241
_cell_angle_alpha 90.00
_cell_angle_beta 90.00
_cell_angle_gamma 90.00
loop_
_atom_site_label
_atom_site_fract_x
_atom_site_fract_y
_atom_site_fract_z
_atom_site_occupancy
V1 0.0000 0.0000 0.0000 1
Si1 0.5000 0.5000 0.5000 1
As1 0.0000 0.0000 0.5000 1
Se1 0.0000 0.5000 0.0000 1

=====

What are the relative energies? In meV per atom: w 365; x 0.